Entry 1:
# PBE-GGA TaMo2Br, relaxed
data_TaMo2Br
_space_group_name_H-M_alt 'P m m m'
_space_group_IT_number 47
_cell_length_a 3.0582
_cell_length_b 4.6353
_cell_length_c 4.7796
_cell_angle_alpha 90.00
_cell_angle_beta 90.00
_cell_angle_gamma 90.00
loop_
_space_group_symop_operation_xyz
'x,y,z'
'-x,-y,-z'
'-x,-y,z'
'x,y,-z'
'x,-y,-z'
'-x,y,z'
'-x,y,-z'
'x,-y,z'
loop_
_atom_site_label
_atom_site_type_symbol
_atom_site_fract_x
_atom_site_fract_y
_atom_site_fract_z
_atom_site_occupancy
Ta1 Ta 0.0000 0.0000 0.0000 1
Mo1 Mo 0.0000 0.5000 0.5000 1
Mo2 Mo 0.5000 0.0000 0.5000 1
Br1 Br 0.5000 0.5000 0.0000 1
# Magnetization ... 0.00 μB per formula unit
# Density of states at the Fermi level ... 0.8497 states/eV/atom
# Total DFT energy (no corrections) ... -8.063 eV per atom
# Formation energy from raw total energies ... 0.734 eV/atom



Entry 2:
# PBE-GGA TaMo2Br, relaxed
data_TaMo2Br
_space_group_name_H-M_alt 'C m m m'
_space_group_IT_number 65
_space_group_name_Hall '-C 2 2'
_cell_length_a 5.2641
_cell_length_b 8.5146
_cell_length_c 3.0848
_cell_angle_alpha 90.00
_cell_angle_beta 90.00
_cell_angle_gamma 90.00
loop_
_atom_site_label
_atom_site_type_symbol
_atom_site_fract_x
_atom_site_fract_y
_atom_site_fract_z
_atom_site_occupancy
Ta1 Ta 0.0000 0.0000 0.0000 1
Mo1 Mo 0.2500 0.2500 0.5000 1
Br1 Br 0.0000 0.5000 0.0000 1
# Magnetization ... 0.00 μB per formula unit
# Density of states at the Fermi level ... 0.9115 states/eV/atom
# Total DFT energy (no corrections) ... -8.008 eV per atom
# Formation energy from raw total energies ... 0.789 eV/atom



Entry 3:
# PBE-GGA TaMoBr2, relaxed
data_TaMoBr2
_space_group_name_H-M_alt 'P m m m'
_space_group_IT_number 47
_cell_length_a 2.9859
_cell_length_b 4.6212
_cell_length_c 5.7218
_cell_angle_alpha 90.00
_cell_angle_beta 90.00
_cell_angle_gamma 90.00
loop_
_space_group_symop_operation_xyz
'x,y,z'
'-x,-y,-z'
'-x,-y,z'
'x,y,-z'
'x,-y,-z'
'-x,y,z'
'-x,y,-z'
'x,-y,z'
loop_
_atom_site_label
_atom_site_type_symbol
_atom_site_fract_x
_atom_site_fract_y
_atom_site_fract_z
_atom_site_occupancy
Ta1 Ta 0.0000 0.0000 0.0000 1
Mo1 Mo 0.5000 0.0000 0.5000 1
Br1 Br 0.0000 0.5000 0.5000 1
Br2 Br 0.5000 0.5000 0.0000 1
# Magnetization ... 1.07 μB per formula unit
# Density of states at the Fermi level ... 1.1037 states/eV/atom
# Total DFT energy (no corrections) ... -5.669 eV per atom
# Formation energy from raw total energies ... 0.838 eV/atom



Entry 4:
# PBE-GGA TaMo2Br, relaxed
data_TaMo2Br
_space_group_name_H-M_alt 'C m m m'
_space_group_IT_number 65
_space_group_name_Hall '-C 2 2'
_cell_length_a 3.2552
_cell_length_b 4.9740
_cell_length_c 8.8827
_cell_angle_alpha 90.00
_cell_angle_beta 90.00
_cell_angle_gamma 90.00
loop_
_atom_site_label
_atom_site_type_symbol
_atom_site_fract_x
_atom_site_fract_y
_atom_site_fract_z
_atom_site_occupancy
Ta1 Ta 0.0000 0.0000 0.0000 1
Mo1 Mo 0.0000 0.5000 0.2378 1
Br1 Br 0.0000 0.0000 0.5000 1
# Magnetization ... 0.00 μB per formula unit
# Density of states at the Fermi level ... 0.9729 states/eV/atom
# Total DFT energy (no corrections) ... -8.337 eV per atom
# Formation energy from raw total energies ... 0.460 eV/atom



Entry 5:
# PBE-GGA Ta2MoBr, relaxed
data_Ta2MoBr
_space_group_name_H-M_alt 'P 1 m 1'
_space_group_IT_number 6
_cell_length_a 3.0055
_cell_length_b 4.6328
_cell_length_c 5.3582
_cell_angle_alpha 90.00
_cell_angle_beta 103.80
_cell_angle_gamma 90.00
loop_
_space_group_symop_operation_xyz
'x,y,z'
'x,-y,z'
loop_
_atom_site_label
_atom_site_type_symbol
_atom_site_fract_x
_atom_site_fract_y
_atom_site_fract_z
_atom_site_occupancy
Ta1 Ta 0.0000 0.0000 0.0000 1
Ta2 Ta 0.2622 0.5000 0.7536 1
Mo1 Mo 0.5378 0.0000 0.5329 1
Br1 Br 0.5016 0.5000 0.2603 1
# Magnetization ... 0.00 μB per formula unit
# Density of states at the Fermi level ... 0.7045 states/eV/atom
# Total DFT energy (no corrections) ... -8.573 eV per atom
# Formation energy from raw total energies ... 0.479 eV/atom



Entry 6:
# PBE-GGA Ta2MoBr, relaxed
data_Ta2MoBr
_space_group_name_H-M_alt 'P 4/m m m'
_space_group_IT_number 123
_space_group_name_Hall '-P 4 2'
_cell_length_a 4.7612
_cell_length_b 4.7612
_cell_length_c 3.1173
_cell_angle_alpha 90.00
_cell_angle_beta 90.00
_cell_angle_gamma 90.00
loop_
_atom_site_label
_atom_site_type_symbol
_atom_site_fract_x
_atom_site_fract_y
_atom_site_fract_z
_atom_site_occupancy
Ta1 Ta 0.0000 0.5000 0.0000 1
Mo1 Mo 0.0000 0.0000 0.5000 1
Br1 Br 0.5000 0.5000 0.5000 1
# Magnetization ... 0.00 μB per formula unit
# Density of states at the Fermi level ... 1.1351 states/eV/atom
# Total DFT energy (no corrections) ... -8.379 eV per atom
# Formation energy from raw total energies ... 0.674 eV/atom



Entry 7:
# PBE-GGA Ta2MoBr, relaxed
data_Ta2MoBr
_space_group_name_H-M_alt 'I -4 2 d'
_space_group_IT_number 122
_space_group_name_Hall 'I -4 2bw'
_cell_length_a 3.9820
_cell_length_b 3.9820
_cell_length_c 19.3557
_cell_angle_alpha 90.00
_cell_angle_beta 90.00
_cell_angle_gamma 90.00
loop_
_atom_site_label
_atom_site_type_symbol
_atom_site_fract_x
_atom_site_fract_y
_atom_site_fract_z
_atom_site_occupancy
Ta1 Ta 0.2456 0.2500 0.1250 1
Mo1 Mo 0.0000 0.0000 0.0000 1
Br1 Br 0.0000 0.0000 0.5000 1
# Magnetization ... 0.60 μB per formula unit
# Density of states at the Fermi level ... 1.2191 states/eV/atom
# Total DFT energy (no corrections) ... -7.949 eV per atom
# Formation energy from raw total energies ... 1.104 eV/atom



Entry 8:
# PBE-GGA Ta2MoBr, relaxed
data_Ta2MoBr
_space_group_name_H-M_alt 'R 3 m'
_space_group_IT_number 160
_space_group_name_Hall 'R 3 -2"'
_cell_length_a 3.1769
_cell_length_b 3.1769
_cell_length_c 27.3656
_cell_angle_alpha 90.00
_cell_angle_beta 90.00
_cell_angle_gamma 120.00
loop_
_atom_site_label
_atom_site_type_symbol
_atom_site_fract_x
_atom_site_fract_y
_atom_site_fract_z
_atom_site_occupancy
Ta1 Ta 0.0000 0.0000 0.0000 1
Ta2 Ta 0.0000 0.0000 0.2480 1
Mo1 Mo 0.0000 0.0000 0.7337 1
Br1 Br 0.0000 0.0000 0.5109 1
# Magnetization ... 0.00 μB per formula unit
# Density of states at the Fermi level ... 0.6553 states/eV/atom
# Total DFT energy (no corrections) ... -8.719 eV per atom
# Formation energy from raw total energies ... 0.333 eV/atom